The following is a GGA-PBEsol calculation of a relaxed structure of Sr3Rh2O7, from Alexandria via LeMat-Bulk.

Unit cell a=5.4283 b=5.4273 c=10.8005 alpha=90.00 beta=104.55 gamma=90.00
Each line ends with the local moment (μB).
Fractional coordinates of all 24 atoms:
Sr: 0.1874 0.5000 0.3748  0.00
Rh: 0.5973 0.5000 0.1947  0.39
O: 0.2901 0.6934 0.1934  0.08
O: 0.0967 0.3066 0.8066  0.08
O: 0.3060 0.5000 0.6119  0.01
O: 0.1940 0.0000 0.3881  0.01
O: 0.7901 0.8066 0.1934  0.08
O: 0.5967 0.1934 0.8066  0.08
O: 0.0000 0.0000 0.0000  0.06
O: 0.9033 0.3066 0.1934  0.08
Sr: 0.8126 0.5000 0.6252  0.00
Rh: 0.0973 0.0000 0.1947  0.39
Sr: 0.0000 0.5000 0.0000  0.01
Sr: 0.5000 0.0000 0.0000  0.01
O: 0.6940 0.5000 0.3881  0.01
O: 0.7099 0.6934 0.8066  0.08
Sr: 0.6874 0.0000 0.3748  0.00
O: 0.8060 0.0000 0.6119  0.01
Rh: 0.9027 0.0000 0.8053  0.39
Rh: 0.4027 0.5000 0.8053  0.39
Sr: 0.3126 0.0000 0.6252  0.00
O: 0.5000 0.5000 0.0000  0.06
O: 0.2099 0.8066 0.8066  0.08
O: 0.4033 0.1934 0.1934  0.08

Values from the calculation:
As for the symmetry: Ccce (68). The calculation puts the calculated total energy at -6.77 eV/atom. For the formation energy without anion corrections, the calculation gives -1.887 eV/atom.


The following is a GGA-PBEsol calculation of a relaxed structure of SrTi2RhO, from Alexandria via LeMat-Bulk.

Unit cell a=4.5417 b=4.8474 c=4.8474 alpha=90.00 beta=90.00 gamma=90.00
Fractional coordinates of all 5 atoms:
Ti: 0.0000 0.0000 0.5000
Ti: 0.0000 0.5000 0.0000
Rh: 0.5000 0.0000 0.0000
O: 0.5000 0.5000 0.5000
Sr: 0.0000 0.0000 0.0000

Values from the calculation:
As for the symmetry: P4/mmm (123). The calculation puts the calculated total energy at -4.01 eV/atom. For the formation energy without anion corrections, the calculation gives 2.360 eV/atom.


The following is a GGA-PBEsol calculation of a relaxed structure of Sr3ZnRhO6, from Alexandria via LeMat-Bulk.

Unit cell a=6.6337 b=6.6337 c=6.6337 alpha=91.89 beta=91.89 gamma=91.89
Each line ends with the local moment (μB).
Fractional coordinates of all 22 atoms:
Sr: 0.7500 0.1146 0.3854  0.00
O: 0.2152 0.5408 0.4076  0.06
O: 0.4076 0.2152 0.5408  0.06
O: 0.0924 0.9592 0.2848  0.06
Rh: 0.5000 0.5000 0.5000  0.58
O: 0.9076 0.0408 0.7152  0.06
O: 0.7848 0.4592 0.5924  0.06
O: 0.0408 0.7152 0.9076  0.06
O: 0.5408 0.4076 0.2152  0.06
Sr: 0.2500 0.8854 0.6146  0.00
Sr: 0.3854 0.7500 0.1146  0.00
Sr: 0.6146 0.2500 0.8854  0.00
O: 0.4592 0.5924 0.7848  0.06
Zn: 0.7500 0.7500 0.7500  0.01
Sr: 0.1146 0.3854 0.7500  0.00
O: 0.2848 0.0924 0.9592  0.06
O: 0.7152 0.9076 0.0408  0.06
Sr: 0.8854 0.6146 0.2500  0.00
Zn: 0.2500 0.2500 0.2500  0.01
Rh: 0.0000 0.0000 0.0000  0.58
O: 0.9592 0.2848 0.0924  0.06
O: 0.5924 0.7848 0.4592  0.06

Values from the calculation:
As for the symmetry: R-3c (167). The calculation puts the calculated total energy at -6.34 eV/atom. For the formation energy without anion corrections, the calculation gives -2.095 eV/atom.


The following is a GGA-PBEsol calculation of a relaxed structure of TbRhO3, from Alexandria via LeMat-Bulk.

Unit cell a=5.1684 b=5.7732 c=7.5269 alpha=90.00 beta=90.00 gamma=90.00
Fractional coordinates of all 20 atoms:
O: 0.8259 0.1906 0.0592
O: 0.8684 0.4514 0.7500
Tb: 0.5333 0.4129 0.2500
O: 0.1741 0.8094 0.9408
Tb: 0.4667 0.5871 0.7500
O: 0.3259 0.3094 0.5592
O: 0.1741 0.8094 0.5592
Tb: 0.9667 0.9129 0.2500
Rh: 0.0000 0.5000 0.0000
Rh: 0.5000 0.0000 0.0000
O: 0.8259 0.1906 0.4408
Rh: 0.0000 0.5000 0.5000
O: 0.1316 0.5486 0.2500
O: 0.3684 0.0486 0.2500
O: 0.3259 0.3094 0.9408
Tb: 0.0333 0.0871 0.7500
O: 0.6741 0.6906 0.4408
O: 0.6316 0.9514 0.7500
O: 0.6741 0.6906 0.0592
Rh: 0.5000 0.0000 0.5000

Values from the calculation:
As for the symmetry: Pnma (62). The calculation puts the calculated total energy at -8.02 eV/atom. For the formation energy without anion corrections, the calculation gives -2.239 eV/atom.


The following is a GGA-PBEsol calculation of a relaxed structure of TeRhO2, from Alexandria via LeMat-Bulk.

Unit cell a=2.9811 b=2.9811 c=7.3477 alpha=78.30 beta=78.30 gamma=60.00
Each line ends with the local moment (μB).
Fractional coordinates of all 4 atoms:
O: 0.0875 0.0875 0.7376  0.07
Rh: 0.0000 0.0000 0.0000  0.58
Te: 0.5000 0.5000 0.5000  -0.01
O: 0.9125 0.9125 0.2624  0.07

Values from the calculation:
As for the symmetry: R-3m (166). The calculation puts the calculated total energy at -5.62 eV/atom. For the formation energy without anion corrections, the calculation gives -0.078 eV/atom.


The following is a GGA-PBEsol calculation of a relaxed structure of TlRhO2, from Alexandria via LeMat-Bulk.

Unit cell a=3.1318 b=3.1318 c=7.1239 alpha=77.30 beta=77.30 gamma=60.00
Fractional coordinates of all 4 atoms:
O: 0.1222 0.1222 0.6335
O: 0.8778 0.8778 0.3665
Tl: 0.0000 0.0000 0.0000
Rh: 0.5000 0.5000 0.5000

Values from the calculation:
As for the symmetry: R-3m (166). The calculation puts the calculated total energy at -5.98 eV/atom. For the formation energy without anion corrections, the calculation gives -0.660 eV/atom.


The following is a GGA-PBEsol calculation of a relaxed structure of TmRhO3, from Alexandria via LeMat-Bulk.

Unit cell a=5.1163 b=5.7088 c=7.4310 alpha=90.00 beta=90.00 gamma=90.00
Fractional coordinates of all 20 atoms:
Rh: 0.5000 0.5000 0.0000
O: 0.8282 0.3120 0.9366
O: 0.6718 0.8120 0.9366
Tm: 0.5347 0.0892 0.7500
Tm: 0.0347 0.4108 0.2500
O: 0.8578 0.0564 0.2500
O: 0.1718 0.6880 0.0634
Rh: 0.5000 0.5000 0.5000
O: 0.6422 0.5564 0.2500
O: 0.3282 0.1880 0.4366
Tm: 0.4653 0.9108 0.2500
O: 0.3578 0.4436 0.7500
O: 0.1718 0.6880 0.4366
O: 0.8282 0.3120 0.5634
O: 0.3282 0.1880 0.0634
O: 0.6718 0.8120 0.5634
Tm: 0.9653 0.5892 0.7500
Rh: 0.0000 0.0000 0.5000
O: 0.1422 0.9436 0.7500
Rh: 0.0000 0.0000 0.0000

Values from the calculation:
As for the symmetry: Pnma (62). The calculation puts the calculated total energy at -8.03 eV/atom. For the formation energy without anion corrections, the calculation gives -2.276 eV/atom.


The following is a GGA-PBEsol calculation of a relaxed structure of Rh2WO6, from Alexandria via LeMat-Bulk.

Unit cell a=4.6188 b=4.6188 c=8.9861 alpha=90.00 beta=90.00 gamma=90.00
Fractional coordinates of all 18 atoms:
Rh: 0.5000 0.5000 0.8301
O: 0.8013 0.1987 0.5000
O: 0.8005 0.1995 0.1572
O: 0.8005 0.1995 0.8428
W: 0.5000 0.5000 0.5000
Rh: 0.0000 0.0000 0.3301
O: 0.6995 0.6995 0.3428
O: 0.3013 0.3013 0.0000
O: 0.1987 0.8013 0.5000
O: 0.6987 0.6987 0.0000
Rh: 0.0000 0.0000 0.6699
O: 0.1995 0.8005 0.1572
O: 0.1995 0.8005 0.8428
W: 0.0000 0.0000 0.0000
O: 0.3005 0.3005 0.6572
O: 0.3005 0.3005 0.3428
O: 0.6995 0.6995 0.6572
Rh: 0.5000 0.5000 0.1699

Values from the calculation:
As for the symmetry: P4_2/mnm (136). The calculation puts the calculated total energy at -8.20 eV/atom. For the formation energy without anion corrections, the calculation gives -1.354 eV/atom.


The following is a GGA-PBEsol calculation of a relaxed structure of ZnRhO2, from Alexandria via LeMat-Bulk.

Unit cell a=3.0602 b=3.0602 c=6.2769 alpha=75.89 beta=75.89 gamma=60.00
Fractional coordinates of all 4 atoms:
Rh: 0.5000 0.5000 0.5000
O: 0.8889 0.8889 0.3333
Zn: 0.0000 0.0000 0.0000
O: 0.1111 0.1111 0.6667

Values from the calculation:
As for the symmetry: R-3m (166). The calculation puts the calculated total energy at -5.69 eV/atom. For the formation energy without anion corrections, the calculation gives -0.638 eV/atom.


The following is a GGA-PBEsol calculation of a relaxed structure of ZrRhO3, from Alexandria via LeMat-Bulk.

Unit cell a=4.0721 b=4.0721 c=4.0721 alpha=90.00 beta=90.00 gamma=90.00
Each line ends with the local moment (μB).
Fractional coordinates of all 5 atoms:
O: 0.0000 0.0000 0.5000  0.24
O: 0.0000 0.5000 0.0000  0.24
Rh: 0.5000 0.5000 0.5000  2.15
O: 0.5000 0.0000 0.0000  0.24
Zr: 0.0000 0.0000 0.0000  -0.04

Values from the calculation:
As for the symmetry: Pm-3m (221). The calculation puts the calculated total energy at -7.91 eV/atom. For the formation energy without anion corrections, the calculation gives -1.315 eV/atom.


The following is a GGA-PBEsol calculation of a relaxed structure of ZrRhO2, from Alexandria via LeMat-Bulk.

Unit cell a=3.9356 b=3.9356 c=3.9356 alpha=60.00 beta=60.00 gamma=60.00
Fractional coordinates of all 4 atoms:
Rh: 0.5000 0.5000 0.5000
O: 0.2500 0.2500 0.2500
O: 0.7500 0.7500 0.7500
Zr: 0.0000 0.0000 0.0000

Values from the calculation:
As for the symmetry: Fm-3m (225). The calculation puts the calculated total energy at -8.23 eV/atom. For the formation energy without anion corrections, the calculation gives -1.296 eV/atom.


The following is a GGA-PBEsol calculation of a relaxed structure of RuO2, from Alexandria via LeMat-Bulk.

Unit cell a=3.0953 b=4.4641 c=4.4641 alpha=90.00 beta=90.00 gamma=90.00
Fractional coordinates of all 6 atoms:
Ru: 0.5000 0.5000 0.5000
O: 0.0000 0.6938 0.6938
Ru: 0.0000 0.0000 0.0000
O: 0.0000 0.3062 0.3062
O: 0.5000 0.8062 0.1938
O: 0.5000 0.1938 0.8062

Values from the calculation:
As for the symmetry: P4_2/mnm (136). The calculation puts the calculated total energy at -7.97 eV/atom. For the formation energy without anion corrections, the calculation gives -1.078 eV/atom.


The following is a GGA-PBEsol calculation of a relaxed structure of RuO2, from Alexandria via LeMat-Bulk.

Unit cell a=4.8175 b=4.8175 c=4.8175 alpha=90.00 beta=90.00 gamma=90.00
Fractional coordinates of all 12 atoms:
Ru: 0.5000 0.0000 0.5000
O: 0.8510 0.3510 0.1490
O: 0.3510 0.1490 0.8510
Ru: 0.0000 0.5000 0.5000
Ru: 0.5000 0.5000 0.0000
O: 0.6490 0.8510 0.1490
Ru: 0.0000 0.0000 0.0000
O: 0.1490 0.6490 0.8510
O: 0.1490 0.8510 0.3510
O: 0.8510 0.1490 0.6490
O: 0.6490 0.6490 0.6490
O: 0.3510 0.3510 0.3510

Values from the calculation:
As for the symmetry: Pa-3 (205). The calculation puts the calculated total energy at -7.93 eV/atom. For the formation energy without anion corrections, the calculation gives -1.035 eV/atom.


The following is a GGA-PBEsol calculation of a relaxed structure of RuS2O, from Alexandria via LeMat-Bulk.

Unit cell a=3.6139 b=3.6139 c=5.8261 alpha=71.93 beta=71.93 gamma=60.00
Fractional coordinates of all 4 atoms:
S: 0.8977 0.8977 0.3069
S: 0.1023 0.1023 0.6931
Ru: 0.5000 0.5000 0.5000
O: 0.0000 0.0000 0.0000

Values from the calculation:
As for the symmetry: R-3m (166). The calculation puts the calculated total energy at -6.33 eV/atom. For the formation energy without anion corrections, the calculation gives -0.279 eV/atom.


The following is a GGA-PBEsol calculation of a relaxed structure of RuSeO3, from Alexandria via LeMat-Bulk.

Unit cell a=3.9040 b=3.9040 c=3.9040 alpha=90.00 beta=90.00 gamma=90.00
Each line ends with the local moment (μB).
Fractional coordinates of all 5 atoms:
Ru: 0.5000 0.5000 0.5000  3.19
Se: 0.0000 0.0000 0.0000  -0.01
O: 0.0000 0.0000 0.5000  0.15
O: 0.0000 0.5000 0.0000  0.15
O: 0.5000 0.0000 0.0000  0.15

Values from the calculation:
As for the symmetry: Pm-3m (221). The calculation puts the calculated total energy at -5.54 eV/atom. For the formation energy without anion corrections, the calculation gives 0.414 eV/atom.


The following is a GGA-PBEsol calculation of a relaxed structure of Ru3SeO, from Alexandria via LeMat-Bulk.

Unit cell a=4.4908 b=4.4908 c=4.4908 alpha=90.00 beta=90.00 gamma=90.00
Each line ends with the local moment (μB).
Fractional coordinates of all 5 atoms:
O: 0.5000 0.5000 0.5000  0.93
Ru: 0.0000 0.0000 0.5000  1.37
Ru: 0.0000 0.5000 0.0000  1.37
Ru: 0.5000 0.0000 0.0000  1.37
Se: 0.0000 0.0000 0.0000  -0.06

Values from the calculation:
As for the symmetry: Pm-3m (221). The calculation puts the calculated total energy at -6.14 eV/atom. For the formation energy without anion corrections, the calculation gives 1.786 eV/atom.


The following is a GGA-PBEsol calculation of a relaxed structure of RuSeO3, from Alexandria via LeMat-Bulk.

Unit cell a=3.8374 b=3.8374 c=3.8374 alpha=90.00 beta=90.00 gamma=90.00
Fractional coordinates of all 5 atoms:
Se: 0.5000 0.5000 0.5000
O: 0.0000 0.0000 0.5000
O: 0.5000 0.0000 0.0000
O: 0.0000 0.5000 0.0000
Ru: 0.0000 0.0000 0.0000

Values from the calculation:
As for the symmetry: Pm-3m (221). The calculation puts the calculated total energy at -6.17 eV/atom. For the formation energy without anion corrections, the calculation gives -0.220 eV/atom.


The following is a GGA-PBEsol calculation of a relaxed structure of SiRuO3, from Alexandria via LeMat-Bulk.

Unit cell a=3.5725 b=3.5725 c=3.5725 alpha=90.00 beta=90.00 gamma=90.00
Each line ends with the local moment (μB).
Fractional coordinates of all 5 atoms:
O: 0.0000 0.0000 0.5000  0.19
O: 0.5000 0.0000 0.0000  0.19
Si: 0.0000 0.0000 0.0000  -0.01
Ru: 0.5000 0.5000 0.5000  3.23
O: 0.0000 0.5000 0.0000  0.19

Values from the calculation:
As for the symmetry: Pm-3m (221). The calculation puts the calculated total energy at -7.36 eV/atom. For the formation energy without anion corrections, the calculation gives -1.025 eV/atom.


The following is a GGA-PBEsol calculation of a relaxed structure of TaSnRu2O, from Alexandria via LeMat-Bulk.

Unit cell a=3.7730 b=4.8410 c=4.8410 alpha=90.00 beta=90.00 gamma=90.00
Fractional coordinates of all 5 atoms:
Sn: 0.5000 0.5000 0.5000
O: 0.5000 0.0000 0.0000
Ru: 0.0000 0.5000 0.0000
Ru: 0.0000 0.0000 0.5000
Ta: 0.0000 0.0000 0.0000

Values from the calculation:
As for the symmetry: P4/mmm (123). The calculation puts the calculated total energy at -8.25 eV/atom. For the formation energy without anion corrections, the calculation gives 0.235 eV/atom.


The following is a GGA-PBEsol calculation of a relaxed structure of TcSnRu2O, from Alexandria via LeMat-Bulk.

Unit cell a=3.9411 b=3.9411 c=4.5510 alpha=90.00 beta=90.00 gamma=90.00
Each line ends with the local moment (μB).
Fractional coordinates of all 5 atoms:
Ru: 0.0000 0.5000 0.0000  0.15
O: 0.0000 0.0000 0.0000  0.03
Tc: 0.5000 0.5000 0.5000  0.70
Sn: 0.0000 0.0000 0.5000  0.00
Ru: 0.5000 0.0000 0.0000  0.15

Values from the calculation:
As for the symmetry: P4/mmm (123). The calculation puts the calculated total energy at -7.85 eV/atom. For the formation energy without anion corrections, the calculation gives 0.373 eV/atom.